[1]
# LaCdP2

A relaxed LaCdP2 crystal (PBE-GGA, the Alexandria database).

Cell and atoms, written as CIF:
```
data_LaCdP2
_symmetry_space_group_name_H-M 'P 4 m m'
_symmetry_Int_Tables_number 99
_cell_length_a 3.521
_cell_length_b 3.521
_cell_length_c 7.083
_cell_angle_alpha 90.00
_cell_angle_beta 90.00
_cell_angle_gamma 90.00
loop_
_symmetry_equiv_pos_as_xyz
'x,y,z'
'-y,x,z'
'-x,-y,z'
'y,-x,z'
'-x,y,z'
'y,x,z'
'x,-y,z'
'-y,-x,z'
loop_
_atom_site_label
_atom_site_fract_x
_atom_site_fract_y
_atom_site_fract_z
_atom_site_occupancy
La1 0.000 0.000 0.000 1
Cd1 0.500 0.500 0.658 1
P1 0.000 0.000 0.387 1
P2 0.500 0.500 0.272 1
```

## Properties
As for the energy above the lowest structure with this stoichiometry: 412.6 meV/atom. Its total magnetization is 0.000 μB per atom. As for the formation energy: -0.22 eV/atom.

=====

[2]
# MoIr2

A relaxed MoIr2 crystal (PBE-GGA, the Alexandria database).

Cell and atoms, written as CIF:
```
data_MoIr2
_symmetry_space_group_name_H-M 'P -6 2 m'
_symmetry_Int_Tables_number 189
_symmetry_space_group_name_Hall 'P -6 -2'
_cell_length_a 7.5066
_cell_length_b 7.5066
_cell_length_c 2.7740
_cell_angle_alpha 90.00
_cell_angle_beta 90.00
_cell_angle_gamma 120.00
loop_
_atom_site_label
_atom_site_fract_x
_atom_site_fract_y
_atom_site_fract_z
_atom_site_occupancy
Mo1 0.0000 0.0000 0.0000 1
Mo2 0.3333 0.6667 0.5000 1
Ir1 0.0000 0.3020 0.5000 1
Ir2 0.0000 0.6405 0.0000 1
```

## Properties
Its total magnetization is 0.000 μB per atom. As for the formation energy: -0.17 eV/atom.

=====

[3]
# KTl2InHg

A relaxed KTl2InHg crystal (PBE-GGA, the Alexandria database).

Cell and atoms, written as CIF:
```
data_KTl2InHg
_symmetry_space_group_name_H-M 'P 4/m m m'
_symmetry_Int_Tables_number 123
_symmetry_space_group_name_Hall '-P 4 2'
_cell_length_a 5.980
_cell_length_b 5.980
_cell_length_c 5.581
_cell_angle_alpha 90.00
_cell_angle_beta 90.00
_cell_angle_gamma 90.00
loop_
_atom_site_label
_atom_site_fract_x
_atom_site_fract_y
_atom_site_fract_z
_atom_site_occupancy
K1 0.000 0.000 0.000 1
Tl1 0.000 0.500 0.500 1
In1 0.500 0.500 0.500 1
Hg1 0.500 0.500 0.000 1
```

## Properties
As for the energy above the lowest structure with this stoichiometry: 173.9 meV/atom. Its total magnetization is 0.000 μB per atom. As for the formation energy: 0.08 eV/atom.

=====

[4]
# MgZr2Br

A relaxed MgZr2Br crystal (PBE-GGA, the Alexandria database).

Cell and atoms, written as CIF:
```
data_MgZr2Br
_symmetry_space_group_name_H-M 'C m m m'
_symmetry_Int_Tables_number 65
_symmetry_space_group_name_Hall '-C 2 2'
_cell_length_a 3.291
_cell_length_b 5.508
_cell_length_c 10.153
_cell_angle_alpha 90.00
_cell_angle_beta 90.00
_cell_angle_gamma 90.00
loop_
_atom_site_label
_atom_site_fract_x
_atom_site_fract_y
_atom_site_fract_z
_atom_site_occupancy
Mg1 0.000 0.000 0.000 1
Zr1 0.000 0.500 0.266 1
Br1 0.000 0.000 0.500 1
```

## Properties
For the uncorrected formation energy, the calculation gives -50 meV/atom. As for the energy above the lowest structure with this stoichiometry: 226.7 meV/atom. Its total magnetization is 0.000 μB per atom.

=====

[5]
# YPdO

A relaxed YPdO crystal (PBE-GGA, the Alexandria database).

Cell and atoms, written as CIF:
```
data_YPdO
_symmetry_space_group_name_H-M 'F d d 2'
_symmetry_Int_Tables_number 43
_symmetry_space_group_name_Hall 'F 2 -2d'
_cell_length_a 9.591
_cell_length_b 13.961
_cell_length_c 6.529
_cell_angle_alpha 90.00
_cell_angle_beta 90.00
_cell_angle_gamma 90.00
loop_
_atom_site_label
_atom_site_fract_x
_atom_site_fract_y
_atom_site_fract_z
_atom_site_occupancy
Y1 0.048 0.298 0.000 1
Pd1 0.048 0.409 0.527 1
O1 0.092 0.187 0.764 1
```

## Properties
For the uncorrected formation energy, the calculation gives -1812 meV/atom. Its total magnetization is 0.000 μB per atom.

=====

[6]
# Li2SiSe

A relaxed Li2SiSe crystal (PBE-GGA, the Alexandria database).

Cell and atoms, written as CIF:
```
data_Li2SiSe
_symmetry_space_group_name_H-M 'R -3 m'
_symmetry_Int_Tables_number 166
_symmetry_space_group_name_Hall '-R 3 2"'
_cell_length_a 3.0493
_cell_length_b 3.0493
_cell_length_c 24.7685
_cell_angle_alpha 90.00
_cell_angle_beta 90.00
_cell_angle_gamma 120.00
loop_
_atom_site_label
_atom_site_fract_x
_atom_site_fract_y
_atom_site_fract_z
_atom_site_occupancy
Li1 0.0000 0.0000 0.2453 1
Si1 0.0000 0.0000 0.0000 1
Se1 0.0000 0.0000 0.5000 1
```

## Properties
For the uncorrected formation energy, the calculation gives -250 meV/atom. As for the energy above the lowest structure with this stoichiometry: 224.7 meV/atom. Its total magnetization is 0.000 μB per atom.